No. 1
Tl5Cd2In2 PBE relaxed; symmetry = C2/m (12); volume = 254.96 Å³ per cell; total energy = -18.8 eV/cell; ΔH_f (0 K) = 0.037 eV per atom
1.0
4.490 0.000 -1.489
-0.703 7.429 -2.120
0.021 0.190 7.576
In Tl Cd
2 5 2
Direct
0.328 0.002 0.655 In
0.672 0.998 0.345 In
0.000 0.000 0.000 Tl
0.882 0.333 0.764 Tl
0.118 0.667 0.236 Tl
0.565 0.333 0.129 Tl
0.435 0.667 0.871 Tl
0.224 0.329 0.447 Cd
0.776 0.671 0.553 Cd

---

No. 2
LiCa4GaAg2 PBE relaxed; symmetry = R-3m (166); volume = 209.80 Å³ per cell; total energy = -20.9 eV/cell; ΔH_f (0 K) = -0.278 eV per atom
1.0
-1.382 -1.777 4.792
0.407 -5.157 1.130
7.756 -1.061 4.768
Li Ca Ag Ga
1 4 2 1
Direct
0.000 0.000 0.000 Li
0.130 0.130 0.610 Ca
0.620 0.620 0.139 Ca
0.380 0.380 0.861 Ca
0.870 0.870 0.390 Ca
0.255 0.255 0.235 Ag
0.745 0.745 0.765 Ag
0.500 0.500 0.500 Ga

---

No. 3
Pr2ErH8 PBE relaxed; symmetry = Immm (71); volume = 114.56 Å³ per cell; total energy = -47.3 eV/cell
1.0
3.652 0.000 -1.111
-0.781 4.519 -2.567
-0.006 0.655 6.536
H Pr Er
8 2 1
Direct
0.000 0.755 0.000 H
0.348 0.099 0.696 H
0.652 0.403 0.304 H
0.652 0.901 0.304 H
0.168 0.168 0.337 H
0.348 0.597 0.696 H
0.000 0.245 0.000 H
0.832 0.832 0.663 H
0.168 0.668 0.336 Pr
0.832 0.332 0.664 Pr
0.500 0.000 0.000 Er

---

No. 4
AcPmAsPd PBE relaxed; symmetry = F-43m (216); volume = 104.98 Å³ per cell; total energy = -22.0 eV/cell; ΔH_f (0 K) = -0.834 eV per atom
1.0
5.295 0.000 0.000
2.648 4.586 0.000
2.648 1.529 4.323
Pm Pd Ac As
1 1 1 1
Direct
0.500 0.500 0.500 Pm
0.750 0.750 0.750 Pd
0.000 0.000 0.000 Ac
0.250 0.250 0.250 As